Record 1
# Hf6ScN PBE-GGA relaxed
data_Hf6ScN
_chemical_formula_sum 'Hf24 Sc4 N4'
_symmetry_space_group_name_H-M 'C 1 2/c 1'
_symmetry_Int_Tables_number 15
_cell_length_a 10.735
_cell_length_b 5.581
_cell_length_c 10.992
_cell_angle_alpha 90.00
_cell_angle_beta 100.30
_cell_angle_gamma 90.00
loop_
_symmetry_equiv_pos_as_xyz
'x,y,z'
'-x,-y,-z'
'-x,y,-z+1/2'
'x,-y,z+1/2'
'x+1/2,y+1/2,z'
'-x+1/2,-y+1/2,-z'
'-x+1/2,y+1/2,-z+1/2'
'x+1/2,-y+1/2,z+1/2'
loop_
_atom_site_label
_atom_site_type_symbol
_atom_site_fract_x
_atom_site_fract_y
_atom_site_fract_z
Hf1 Hf 0.073 0.083 0.396
Hf2 Hf 0.143 0.423 0.037
Hf3 Hf 0.214 0.084 0.675
Sc1 Sc 0.000 0.416 0.750
N1 N 0.250 0.250 0.500
# **Total energy**: -9.777 eV/atom
# **Formation energy without anion corrections**: -0.4796 eV/atom
# **N(E_F)**: 6.757 states/eV/f.u.

=====

Record 2
# Hf4ScN5 PBE-GGA relaxed
data_Hf4ScN5
_chemical_formula_sum 'Hf8 Sc2 N10'
_symmetry_space_group_name_H-M 'I 4/m'
_symmetry_Int_Tables_number 87
_symmetry_space_group_name_Hall '-I 4'
_cell_length_a 7.160
_cell_length_b 7.160
_cell_length_c 4.533
_cell_angle_alpha 90.00
_cell_angle_beta 90.00
_cell_angle_gamma 90.00
loop_
_atom_site_label
_atom_site_type_symbol
_atom_site_fract_x
_atom_site_fract_y
_atom_site_fract_z
Hf1 Hf 0.102 0.299 0.000
Sc1 Sc 0.000 0.000 0.500
N1 N 0.000 0.000 0.000
N2 N 0.099 0.301 0.500
# **Total energy**: -10.606 eV/atom
# **Formation energy without anion corrections**: -1.8286 eV/atom
# **N(E_F)**: 2.452 states/eV/f.u.

=====

Record 3
# Hf5ScN6 PBE-GGA relaxed
data_Hf5ScN6
_chemical_formula_sum 'Hf10 Sc2 N12'
_symmetry_space_group_name_H-M 'C 1 2/m 1'
_symmetry_Int_Tables_number 12
_cell_length_a 5.543
_cell_length_b 9.612
_cell_length_c 5.551
_cell_angle_alpha 90.00
_cell_angle_beta 109.29
_cell_angle_gamma 90.00
loop_
_symmetry_equiv_pos_as_xyz
'x,y,z'
'-x,-y,-z'
'-x,y,-z'
'x,-y,z'
'x+1/2,y+1/2,z'
'-x+1/2,-y+1/2,-z'
'-x+1/2,y+1/2,-z'
'x+1/2,-y+1/2,z'
loop_
_atom_site_label
_atom_site_type_symbol
_atom_site_fract_x
_atom_site_fract_y
_atom_site_fract_z
Hf1 Hf 0.000 0.000 0.000
Hf2 Hf 0.000 0.167 0.500
Hf3 Hf 0.000 0.335 0.000
Sc1 Sc 0.000 0.500 0.500
N1 N 0.249 0.000 0.748
N2 N 0.249 0.167 0.248
# **Total energy**: -10.653 eV/atom
# **Formation energy without anion corrections**: -1.8157 eV/atom
# **N(E_F)**: 4.292 states/eV/f.u.

=====

Record 4
# Hf3ScN3 PBE-GGA relaxed
data_Hf3ScN3
_chemical_formula_sum 'Hf6 Sc2 N6'
_symmetry_space_group_name_H-M 'P -1'
_symmetry_Int_Tables_number 2
_cell_length_a 5.145
_cell_length_b 6.261
_cell_length_c 6.596
_cell_angle_alpha 90.06
_cell_angle_beta 90.00
_cell_angle_gamma 94.55
loop_
_symmetry_equiv_pos_as_xyz
'x,y,z'
'-x,-y,-z'
loop_
_atom_site_label
_atom_site_type_symbol
_atom_site_fract_x
_atom_site_fract_y
_atom_site_fract_z
Hf1 Hf 0.224 0.182 0.250
Hf2 Hf 0.267 0.645 0.001
Hf3 Hf 0.267 0.645 0.499
Sc1 Sc 0.229 0.181 0.750
N1 N 0.183 0.847 0.750
N2 N 0.202 0.852 0.250
N3 N 0.498 0.495 0.250
# **Total energy**: -10.048 eV/atom
# **Formation energy without anion corrections**: -1.3101 eV/atom
# **N(E_F)**: 3.513 states/eV/f.u.

=====

Record 5
# Hf3ScN2 PBE-GGA relaxed
data_Hf3ScN2
_chemical_formula_sum 'Hf12 Sc4 N8'
_symmetry_space_group_name_H-M 'C 1 2/m 1'
_symmetry_Int_Tables_number 12
_cell_length_a 14.030
_cell_length_b 3.223
_cell_length_c 10.593
_cell_angle_alpha 90.00
_cell_angle_beta 128.24
_cell_angle_gamma 90.00
loop_
_symmetry_equiv_pos_as_xyz
'x,y,z'
'-x,-y,-z'
'-x,y,-z'
'x,-y,z'
'x+1/2,y+1/2,z'
'-x+1/2,-y+1/2,-z'
'-x+1/2,y+1/2,-z'
'x+1/2,-y+1/2,z'
loop_
_atom_site_label
_atom_site_type_symbol
_atom_site_fract_x
_atom_site_fract_y
_atom_site_fract_z
Hf1 Hf 0.061 0.000 0.192
Hf2 Hf 0.189 0.500 0.060
Hf3 Hf 0.191 0.000 0.559
Sc1 Sc 0.063 0.500 0.696
N1 N 0.123 0.500 0.377
N2 N 0.127 0.000 0.877
# **Total energy**: -10.011 eV/atom
# **Formation energy without anion corrections**: -1.2040 eV/atom
# **N(E_F)**: 4.055 states/eV/f.u.

=====

Record 6
# Hf2ScN PBE-GGA relaxed
data_Hf2ScN
_chemical_formula_sum 'Hf8 Sc4 N4'
_symmetry_space_group_name_H-M 'I -4 2 d'
_symmetry_Int_Tables_number 122
_symmetry_space_group_name_Hall 'I -4 2bw'
_cell_length_a 6.493
_cell_length_b 6.493
_cell_length_c 8.385
_cell_angle_alpha 90.00
_cell_angle_beta 90.00
_cell_angle_gamma 90.00
loop_
_atom_site_label
_atom_site_type_symbol
_atom_site_fract_x
_atom_site_fract_y
_atom_site_fract_z
Hf1 Hf 0.101 0.750 0.125
Sc1 Sc 0.000 0.000 0.500
N1 N 0.000 0.000 0.000
# **Total energy**: -9.011 eV/atom
# **Formation energy without anion corrections**: -0.3704 eV/atom
# **N(E_F)**: 1.461 states/eV/f.u.

=====

Record 7
# Hf2Sc2N PBE-GGA relaxed
data_Hf2Sc2N
_chemical_formula_sum 'Hf4 Sc4 N2'
_symmetry_space_group_name_H-M 'I 4/m m m'
_symmetry_Int_Tables_number 139
_symmetry_space_group_name_Hall '-I 4 2'
_cell_length_a 3.324
_cell_length_b 3.324
_cell_length_c 16.741
_cell_angle_alpha 90.00
_cell_angle_beta 90.00
_cell_angle_gamma 90.00
loop_
_atom_site_label
_atom_site_type_symbol
_atom_site_fract_x
_atom_site_fract_y
_atom_site_fract_z
Hf1 Hf 0.000 0.000 0.083
Sc1 Sc 0.000 0.500 0.250
N1 N 0.000 0.000 0.500
# **Total energy**: -7.233 eV/atom
# **Formation energy without anion corrections**: 0.9456 eV/atom
# **N(E_F)**: 4.276 states/eV/f.u.

=====

Record 8
# HfScN PBE-GGA relaxed
data_HfScN
_chemical_formula_sum 'Hf1 Sc1 N1'
_symmetry_space_group_name_H-M 'P 3 m 1'
_symmetry_Int_Tables_number 156
_cell_length_a 3.2294
_cell_length_b 3.2294
_cell_length_c 5.2801
_cell_angle_alpha 90.00
_cell_angle_beta 90.00
_cell_angle_gamma 120.00
loop_
_symmetry_equiv_pos_as_xyz
'x,y,z'
'-y,x-y,z'
'-x+y,-x,z'
'-y,-x,z'
'-x+y,y,z'
'x,x-y,z'
loop_
_atom_site_label
_atom_site_type_symbol
_atom_site_fract_x
_atom_site_fract_y
_atom_site_fract_z
Hf1 Hf 0.0000 0.0000 0.0000
Sc1 Sc 0.6667 0.3333 0.5313
N1 N 0.3333 0.6667 0.7682
# **Total energy**: -9.430 eV/atom
# **Formation energy without anion corrections**: -1.2269 eV/atom
# **N(E_F)**: 2.248 states/eV/f.u.

=====

Record 9
# HfScN PBE-GGA relaxed
data_HfScN
_chemical_formula_sum 'Hf4 Sc4 N4'
_symmetry_space_group_name_H-M 'I m m m'
_symmetry_Int_Tables_number 71
_symmetry_space_group_name_Hall '-I 2 2'
_cell_length_a 3.090
_cell_length_b 5.660
_cell_length_c 10.804
_cell_angle_alpha 90.00
_cell_angle_beta 90.00
_cell_angle_gamma 90.00
loop_
_atom_site_label
_atom_site_type_symbol
_atom_site_fract_x
_atom_site_fract_y
_atom_site_fract_z
Hf1 Hf 0.000 0.000 0.237
Sc1 Sc 0.000 0.237 0.500
N1 N 0.000 0.500 0.126
# **Total energy**: -8.960 eV/atom
# **Formation energy without anion corrections**: -0.7566 eV/atom
# **N(E_F)**: 2.235 states/eV/f.u.

=====

Record 10
# HfScN3 PBE-GGA relaxed
data_HfScN3
_chemical_formula_sum 'Hf1 Sc1 N3'
_symmetry_space_group_name_H-M 'P m -3 m'
_symmetry_Int_Tables_number 221
_symmetry_space_group_name_Hall '-P 4 2 3'
_cell_length_a 3.938
_cell_length_b 3.938
_cell_length_c 3.938
_cell_angle_alpha 90.00
_cell_angle_beta 90.00
_cell_angle_gamma 90.00
loop_
_atom_site_label
_atom_site_type_symbol
_atom_site_fract_x
_atom_site_fract_y
_atom_site_fract_z
Hf1 Hf 0.000 0.000 0.000
Sc1 Sc 0.500 0.500 0.500
N1 N 0.000 0.500 0.500
# **Total energy**: -8.039 eV/atom
# **Formation energy without anion corrections**: 0.2132 eV/atom
# **N(E_F)**: 3.857 states/eV/f.u.

=====

Record 11
# Hf3Sc4N8 PBE-GGA relaxed
data_Hf3Sc4N8
_chemical_formula_sum 'Hf6 Sc8 N16'
_symmetry_space_group_name_H-M 'C 1 2/m 1'
_symmetry_Int_Tables_number 12
_cell_length_a 8.939
_cell_length_b 9.003
_cell_length_c 6.363
_cell_angle_alpha 90.00
_cell_angle_beta 134.62
_cell_angle_gamma 90.00
loop_
_symmetry_equiv_pos_as_xyz
'x,y,z'
'-x,-y,-z'
'-x,y,-z'
'x,-y,z'
'x+1/2,y+1/2,z'
'-x+1/2,-y+1/2,-z'
'-x+1/2,y+1/2,-z'
'x+1/2,-y+1/2,z'
loop_
_atom_site_label
_atom_site_type_symbol
_atom_site_fract_x
_atom_site_fract_y
_atom_site_fract_z
Hf1 Hf 0.000 0.000 0.000
Hf2 Hf 0.250 0.250 0.500
Sc1 Sc 0.000 0.500 0.000
Sc2 Sc 0.000 0.500 0.500
Sc3 Sc 0.250 0.250 0.000
N1 N 0.000 0.248 0.000
N2 N 0.000 0.258 0.500
N3 N 0.244 0.500 0.980
N4 N 0.248 0.500 0.507
# **Total energy**: -9.804 eV/atom
# **Formation energy without anion corrections**: -1.6844 eV/atom
# **N(E_F)**: 3.646 states/eV/f.u.

=====

Record 12
# Hf3ScN PBE-GGA relaxed
data_Hf3ScN
_chemical_formula_sum 'Hf6 Sc2 N2'
_symmetry_space_group_name_H-M 'P m n 21'
_symmetry_Int_Tables_number 31
_cell_length_a 6.454
_cell_length_b 5.645
_cell_length_c 5.151
_cell_angle_alpha 90.00
_cell_angle_beta 90.00
_cell_angle_gamma 90.00
loop_
_symmetry_equiv_pos_as_xyz
'x,y,z'
'-x+1/2,-y,z+1/2'
'-x,y,z'
'x+1/2,-y,z+1/2'
loop_
_atom_site_label
_atom_site_type_symbol
_atom_site_fract_x
_atom_site_fract_y
_atom_site_fract_z
Hf1 Hf 0.000 0.170 0.000
Hf2 Hf 0.249 0.649 0.990
Sc1 Sc 0.000 0.827 0.499
N1 N 0.000 0.490 0.747
# **Total energy**: -9.651 eV/atom
# **Formation energy without anion corrections**: -0.7473 eV/atom
# **N(E_F)**: 3.646 states/eV/f.u.

=====

Record 13
# Hf3ScN PBE-GGA relaxed
data_Hf3ScN
_chemical_formula_sum 'Hf12 Sc4 N4'
_symmetry_space_group_name_H-M 'C 1 2/m 1'
_symmetry_Int_Tables_number 12
_cell_length_a 8.988
_cell_length_b 9.226
_cell_length_c 6.309
_cell_angle_alpha 90.00
_cell_angle_beta 134.51
_cell_angle_gamma 90.00
loop_
_symmetry_equiv_pos_as_xyz
'x,y,z'
'-x,-y,-z'
'-x,y,-z'
'x,-y,z'
'x+1/2,y+1/2,z'
'-x+1/2,-y+1/2,-z'
'-x+1/2,y+1/2,-z'
'x+1/2,-y+1/2,z'
loop_
_atom_site_label
_atom_site_type_symbol
_atom_site_fract_x
_atom_site_fract_y
_atom_site_fract_z
Hf1 Hf 0.000 0.000 0.250
Hf2 Hf 0.243 0.259 0.244
Sc1 Sc 0.000 0.500 0.240
N1 N 0.244 0.000 0.744
# **Total energy**: -9.581 eV/atom
# **Formation energy without anion corrections**: -0.6777 eV/atom
# **N(E_F)**: 4.686 states/eV/f.u.

=====

Record 14
# HfSc2N PBE-GGA relaxed
data_HfSc2N
_chemical_formula_sum 'Hf3 Sc6 N3'
_symmetry_space_group_name_H-M 'R -3 m'
_symmetry_Int_Tables_number 166
_symmetry_space_group_name_Hall '-R 3 2"'
_cell_length_a 3.1416
_cell_length_b 3.1416
_cell_length_c 25.6869
_cell_angle_alpha 90.00
_cell_angle_beta 90.00
_cell_angle_gamma 120.00
loop_
_atom_site_label
_atom_site_type_symbol
_atom_site_fract_x
_atom_site_fract_y
_atom_site_fract_z
Hf1 Hf 0.0000 0.0000 0.0000
Sc1 Sc 0.0000 0.0000 0.1188
N1 N 0.0000 0.0000 0.5000
# **Total energy**: -8.497 eV/atom
# **Formation energy without anion corrections**: -0.7617 eV/atom
# **N(E_F)**: 3.457 states/eV/f.u.

=====

Record 15
# HfScN PBE-GGA relaxed
data_HfScN
_chemical_formula_sum 'Hf1 Sc1 N1'
_symmetry_space_group_name_H-M 'P 4/m m m'
_symmetry_Int_Tables_number 123
_symmetry_space_group_name_Hall '-P 4 2'
_cell_length_a 3.274
_cell_length_b 3.274
_cell_length_c 4.355
_cell_angle_alpha 90.00
_cell_angle_beta 90.00
_cell_angle_gamma 90.00
loop_
_atom_site_label
_atom_site_type_symbol
_atom_site_fract_x
_atom_site_fract_y
_atom_site_fract_z
Hf1 Hf 0.000 0.000 0.000
Sc1 Sc 0.500 0.500 0.500
N1 N 0.000 0.000 0.500
# **Total energy**: -9.360 eV/atom
# **Formation energy without anion corrections**: -1.1564 eV/atom
# **N(E_F)**: 3.886 states/eV/f.u.

=====

Record 16
# HfScN3 PBE-GGA relaxed
data_HfScN3
_chemical_formula_sum 'Hf1 Sc1 N3'
_symmetry_space_group_name_H-M 'P m -3 m'
_symmetry_Int_Tables_number 221
_symmetry_space_group_name_Hall '-P 4 2 3'
_cell_length_a 4.079
_cell_length_b 4.079
_cell_length_c 4.079
_cell_angle_alpha 90.00
_cell_angle_beta 90.00
_cell_angle_gamma 90.00
loop_
_atom_site_label
_atom_site_type_symbol
_atom_site_fract_x
_atom_site_fract_y
_atom_site_fract_z
Hf1 Hf 0.000 0.000 0.000
Sc1 Sc 0.500 0.500 0.500
N1 N 0.000 0.000 0.500
# **Total energy**: -8.507 eV/atom
# **Formation energy without anion corrections**: -0.2547 eV/atom
# **N(E_F)**: 4.138 states/eV/f.u.

=====

Record 17
# HfSc3N3 PBE-GGA relaxed
data_HfSc3N3
_chemical_formula_sum 'Hf4 Sc12 N12'
_symmetry_space_group_name_H-M 'C m c m'
_symmetry_Int_Tables_number 63
_symmetry_space_group_name_Hall '-C 2c 2'
_cell_length_a 7.372
_cell_length_b 12.772
_cell_length_c 4.570
_cell_angle_alpha 90.00
_cell_angle_beta 90.00
_cell_angle_gamma 90.00
loop_
_atom_site_label
_atom_site_type_symbol
_atom_site_fract_x
_atom_site_fract_y
_atom_site_fract_z
Hf1 Hf 0.000 0.167 0.250
Sc1 Sc 0.000 0.333 0.750
Sc2 Sc 0.250 0.083 0.750
N1 N 0.000 0.333 0.250
N2 N 0.249 0.083 0.250
# **Total energy**: -9.141 eV/atom
# **Formation energy without anion corrections**: -1.4375 eV/atom
# **N(E_F)**: 3.811 states/eV/f.u.

=====

Record 18
# Hf3ScN PBE-GGA relaxed
data_Hf3ScN
_chemical_formula_sum 'Hf3 Sc1 N1'
_symmetry_space_group_name_H-M 'P m -3 m'
_symmetry_Int_Tables_number 221
_symmetry_space_group_name_Hall '-P 4 2 3'
_cell_length_a 4.518
_cell_length_b 4.518
_cell_length_c 4.518
_cell_angle_alpha 90.00
_cell_angle_beta 90.00
_cell_angle_gamma 90.00
loop_
_atom_site_label
_atom_site_type_symbol
_atom_site_fract_x
_atom_site_fract_y
_atom_site_fract_z
Hf1 Hf 0.000 0.000 0.500
Sc1 Sc 0.500 0.500 0.500
N1 N 0.000 0.000 0.000
# **Total energy**: -9.591 eV/atom
# **Formation energy without anion corrections**: -0.6879 eV/atom
# **N(E_F)**: 4.449 states/eV/f.u.

=====

Record 19
# Hf3ScN PBE-GGA relaxed
data_Hf3ScN
_chemical_formula_sum 'Hf3 Sc1 N1'
_symmetry_space_group_name_H-M 'P m -3 m'
_symmetry_Int_Tables_number 221
_symmetry_space_group_name_Hall '-P 4 2 3'
_cell_length_a 4.930
_cell_length_b 4.930
_cell_length_c 4.930
_cell_angle_alpha 90.00
_cell_angle_beta 90.00
_cell_angle_gamma 90.00
loop_
_atom_site_label
_atom_site_type_symbol
_atom_site_fract_x
_atom_site_fract_y
_atom_site_fract_z
Hf1 Hf 0.000 0.000 0.500
Sc1 Sc 0.000 0.000 0.000
N1 N 0.500 0.500 0.500
# **Total energy**: -6.626 eV/atom
# **Formation energy without anion corrections**: 2.2773 eV/atom
# **N(E_F)**: 4.519 states/eV/f.u.

=====

Record 20
# Hf5Sc2N4 PBE-GGA relaxed
data_Hf5Sc2N4
_chemical_formula_sum 'Hf10 Sc4 N8'
_symmetry_space_group_name_H-M 'C 1 2/m 1'
_symmetry_Int_Tables_number 12
_cell_length_a 16.052
_cell_length_b 3.066
_cell_length_c 8.272
_cell_angle_alpha 90.00
_cell_angle_beta 117.25
_cell_angle_gamma 90.00
loop_
_symmetry_equiv_pos_as_xyz
'x,y,z'
'-x,-y,-z'
'-x,y,-z'
'x,-y,z'
'x+1/2,y+1/2,z'
'-x+1/2,-y+1/2,-z'
'-x+1/2,y+1/2,-z'
'x+1/2,-y+1/2,z'
loop_
_atom_site_label
_atom_site_type_symbol
_atom_site_fract_x
_atom_site_fract_y
_atom_site_fract_z
Hf1 Hf 0.000 0.000 0.000
Hf2 Hf 0.082 0.500 0.745
Hf3 Hf 0.128 0.500 0.431
Sc1 Sc 0.218 0.500 0.157
N1 N 0.020 0.000 0.277
N2 N 0.143 0.000 0.639
# **Total energy**: -9.751 eV/atom
# **Formation energy without anion corrections**: -1.0479 eV/atom
# **N(E_F)**: 7.279 states/eV/f.u.